No. 1
Pb4OF5: optimized geometry, PBE.

Summary:
raw formation energy = -1844 meV/atom
M_tot = 0.034 μB per atom
Fermi-level density of states = 1.91 states/eV/f.u.
final energy = -4.758 eV per atom
volume = 398.9 Å³ per cell

Unit cell a=17.009 b=3.493 c=7.468 alpha=90.00 beta=115.96 gamma=90.00
Space group C2/m (No. 12)
Unique sites:
Pb 0.000 0.000 0.236 (multiplicity 4)
Pb 0.229 0.500 0.230 (multiplicity 4)
O 0.000 0.500 0.000 (multiplicity 2)
F 0.000 0.500 0.500 (multiplicity 2)
F 0.163 0.000 0.436 (multiplicity 4)
F 0.163 0.000 0.891 (multiplicity 4)

No. 2
Tb3Nd2Ag3: optimized geometry, PBE.

Summary:
M_tot = 0.000 μB per atom
Fermi-level density of states = 7.65 states/eV/f.u.
final energy = -4.187 eV per atom
formation energy from the elements = -189.5 meV per atom
volume = 433.5 Å³ per cell

Unit cell a=3.740 b=5.307 c=21.840 alpha=90.00 beta=90.00 gamma=90.00
Space group Immm (No. 71)
Unique sites:
Tb 0.000 0.000 0.000 (multiplicity 2)
Tb 0.000 0.500 0.118 (multiplicity 4)
Nd 0.000 0.000 0.231 (multiplicity 4)
Ag 0.000 0.000 0.500 (multiplicity 2)
Ag 0.000 0.500 0.387 (multiplicity 4)

No. 3
Ce2TmZn: optimized geometry, PBE.

Summary:
distance to the lowest polymorph of the same formula = 114 meV/atom
M_tot = 0.570 μB per atom
Fermi-level density of states = 12.20 states/eV/f.u.
final energy = -4.295 eV per atom
formation energy from the elements = 108.2 meV per atom
volume = 425.4 Å³ per cell

Unit cell a=7.521 b=7.521 c=7.521 alpha=90.00 beta=90.00 gamma=90.00
Space group Fm-3m (No. 225)
Unique sites:
Ce 0.250 0.250 0.250 (multiplicity 8)
Tm 0.000 0.000 0.000 (multiplicity 4)
Zn 0.000 0.000 0.500 (multiplicity 4)

No. 4
Ta2ZnMo: optimized geometry, PBE.

Summary:
M_tot = 0.000 μB per atom
Fermi-level density of states = 3.77 states/eV/f.u.
final energy = -8.280 eV per atom
formation energy from the elements = 672.2 meV per atom
volume = 288.6 Å³ per cell

Unit cell a=7.251 b=7.251 c=5.490 alpha=90.00 beta=90.00 gamma=90.00
Space group I-42d (No. 122)
Unique sites:
Ta 0.241 0.750 0.125 (multiplicity 8)
Zn 0.000 0.000 0.500 (multiplicity 4)
Mo 0.000 0.000 0.000 (multiplicity 4)

No. 5
BeRhBr2: optimized geometry, PBE.

Summary:
distance to the lowest polymorph of the same formula = 596 meV/atom
raw formation energy = 191 meV/atom
M_tot = 0.250 μB per atom
Fermi-level density of states = 1.03 states/eV/f.u.
final energy = -3.415 eV per atom
volume = 329.4 Å³ per cell

Unit cell a=5.744 b=5.744 c=9.983 alpha=90.00 beta=90.00 gamma=90.00
Space group I-42d (No. 122)
Unique sites:
Be 0.000 0.000 0.000 (multiplicity 4)
Rh 0.000 0.000 0.500 (multiplicity 4)
Br 0.198 0.250 0.125 (multiplicity 8)

No. 6
NaGaTe2: optimized geometry, PBE.

Summary:
raw formation energy = -323 meV/atom
M_tot = 0.000 μB per atom
Fermi-level density of states = 0.75 states/eV/f.u.
final energy = -2.980 eV per atom
volume = 452.0 Å³ per cell

Unit cell a=2.954 b=25.032 c=6.112 alpha=90.00 beta=90.00 gamma=90.00
Space group Cmcm (No. 63)
Unique sites:
Na 0.000 0.182 0.250 (multiplicity 4)
Ga 0.000 0.436 0.250 (multiplicity 4)
Te 0.000 0.310 0.250 (multiplicity 4)
Te 0.000 0.437 0.750 (multiplicity 4)

No. 7
NaPuF6: optimized geometry, PBE.

Summary:
raw formation energy = -3122 meV/atom
M_tot = 0.375 μB per atom
Fermi-level density of states = 11.89 states/eV/f.u.
final energy = -6.481 eV per atom
volume = 290.2 Å³ per cell

Unit cell a=5.6152 b=5.6152 c=10.6268 alpha=90.00 beta=90.00 gamma=120.00
Space group P-31c (No. 163)
Unique sites:
Na 0.3333 0.6667 0.2500 (multiplicity 2)
Pu 0.0000 0.0000 0.0000 (multiplicity 2)
F 0.0382 0.3164 0.1142 (multiplicity 12)

No. 8
LaTmSi: optimized geometry, PBE.

Summary:
distance to the lowest polymorph of the same formula = 0 meV/atom
raw formation energy = -436 meV/atom
M_tot = 0.000 μB per atom
Fermi-level density of states = 2.76 states/eV/f.u.
final energy = -5.377 eV per atom
volume = 343.2 Å³ per cell

Unit cell a=7.001 b=7.001 c=7.001 alpha=90.00 beta=90.00 gamma=90.00
Space group F-43m (No. 216)
Unique sites:
La 0.000 0.000 0.000 (multiplicity 4)
Tm 0.000 0.000 0.500 (multiplicity 4)
Si 0.250 0.250 0.250 (multiplicity 4)

No. 9
PrDyAlTl: optimized geometry, PBE.

Summary:
distance to the lowest polymorph of the same formula = 0 meV/atom
M_tot = 0.000 μB per atom
Fermi-level density of states = 2.09 states/eV/f.u.
final energy = -4.237 eV per atom
formation energy from the elements = -364.4 meV per atom
volume = 107.7 Å³ per cell

Unit cell a=3.732 b=3.732 c=7.735 alpha=90.00 beta=90.00 gamma=90.00
Space group P4mm (No. 99)
Unique sites:
Pr 0.000 0.000 0.000 (multiplicity 1)
Dy 0.000 0.000 0.473 (multiplicity 1)
Al 0.500 0.500 0.249 (multiplicity 1)
Tl 0.500 0.500 0.720 (multiplicity 1)

No. 10
ScFeSb: optimized geometry, PBE.

Summary:
raw formation energy = -506 meV/atom
M_tot = 0.000 μB per atom
Fermi-level density of states = 1.23 states/eV/f.u.
final energy = -6.812 eV per atom
volume = 112.1 Å³ per cell

Unit cell a=4.180 b=4.180 c=6.415 alpha=90.00 beta=90.00 gamma=90.00
Space group P4/nmm (No. 129, origin choice 2)
Unique sites:
Sc 0.250 0.250 0.223 (multiplicity 2)
Fe 0.250 0.750 0.500 (multiplicity 2)
Sb 0.250 0.250 0.740 (multiplicity 2)

No. 11
Rb2PtSe: optimized geometry, PBE.

Summary:
distance to the lowest polymorph of the same formula = 0 meV/atom
raw formation energy = -447 meV/atom
M_tot = 0.000 μB per atom
Fermi-level density of states = 0.87 states/eV/f.u.
final energy = -3.312 eV per atom
volume = 776.9 Å³ per cell

Unit cell a=12.687 b=12.687 c=4.827 alpha=90.00 beta=90.00 gamma=90.00
Space group I-42d (No. 122)
Unique sites:
Rb 0.040 0.250 0.125 (multiplicity 8)
Pt 0.000 0.000 0.000 (multiplicity 4)
Se 0.000 0.000 0.500 (multiplicity 4)

No. 12
BaRh2W: optimized geometry, PBE.

Summary:
distance to the lowest polymorph of the same formula = 255 meV/atom
M_tot = 0.000 μB per atom
Fermi-level density of states = 4.18 states/eV/f.u.
final energy = -7.021 eV per atom
formation energy from the elements = 373.3 meV per atom
volume = 184.3 Å³ per cell

Unit cell a=3.297 b=3.732 c=14.978 alpha=90.00 beta=90.00 gamma=90.00
Space group Imm2 (No. 44)
Unique sites:
Ba 0.000 0.000 0.000 (multiplicity 2)
Rh 0.000 0.000 0.645 (multiplicity 2)
Rh 0.000 0.500 0.307 (multiplicity 2)
W 0.000 0.500 0.752 (multiplicity 2)